5
Lattice="-3.968 0.295 -3.924 1.212 -5.008 -1.602 -3.730 -2.060 3.616" Properties=species:S:1:pos:R:3 comment="TeMo2AsF | Alexandria via LeMat-Bulk | PBE+U | relaxed" total_magnetization_mub_per_fu=8.010 sg="P4/mmm, No. 123" dft_energy_ev_per_atom=-3.86 pbc="T T T"
Mo -1.984 0.147 -1.962
As 0.606 -2.504 -0.801
Te 0.000 0.000 0.000
F -3.243 -3.386 -0.955
Mo -1.865 -1.030 1.808